Pa3CuNi5 | PBE | optimized geometry

Properties
N(E_F) ... 0.93 states/eV/atom
Crystal system ... hexagonal
Size of the total moment ... 0.00 μB/f.u.
Energy of formation ... -0.2485 eV/atom
Symmetry ... P6_3/mcm

The structure in CIF format:
```
data_Pa3CuNi5
_cell_length_a 8.0784
_cell_length_b 8.0784
_cell_length_c 5.3319
_cell_angle_alpha 90.00
_cell_angle_beta 90.00
_cell_angle_gamma 120.00
_space_group_name_H-M_alt 'P 1'
_space_group_IT_number 1
loop_
_space_group_symop_operation_xyz
'x,y,z'
loop_
_atom_site_label
_atom_site_fract_x
_atom_site_fract_y
_atom_site_fract_z
_atom_site_occupancy
Pa1 0.0000 0.3453 0.2500 1
Pa2 0.0000 0.6547 0.7500 1
Pa3 0.3453 0.0000 0.2500 1
Pa4 0.3453 0.3453 0.7500 1
Pa5 0.6547 0.0000 0.7500 1
Pa6 0.6547 0.6547 0.2500 1
Cu1 0.0000 0.0000 0.0000 1
Cu2 0.0000 0.0000 0.5000 1
Ni1 0.0000 0.3197 0.7500 1
Ni2 0.0000 0.6803 0.2500 1
Ni3 0.3197 0.0000 0.7500 1
Ni4 0.3197 0.3197 0.2500 1
Ni5 0.3333 0.6667 0.0000 1
Ni6 0.3333 0.6667 0.5000 1
Ni7 0.6667 0.3333 0.0000 1
Ni8 0.6667 0.3333 0.5000 1
Ni9 0.6803 0.0000 0.2500 1
Ni10 0.6803 0.6803 0.7500 1
```

PaCu4Ni | PBE | optimized geometry

Properties
N(E_F) ... 0.68 states/eV/atom
Crystal system ... cubic
Size of the total moment ... 0.00 μB/f.u.
Energy of formation ... -0.1188 eV/atom
Symmetry ... F-43m

The structure in CIF format:
```
data_PaCu4Ni
_cell_length_a 4.9440
_cell_length_b 4.9440
_cell_length_c 4.9440
_cell_angle_alpha 60.00
_cell_angle_beta 60.00
_cell_angle_gamma 60.00
_space_group_name_H-M_alt 'P 1'
_space_group_IT_number 1
loop_
_space_group_symop_operation_xyz
'x,y,z'
loop_
_atom_site_label
_atom_site_fract_x
_atom_site_fract_y
_atom_site_fract_z
_atom_site_occupancy
Pa1 0.0000 0.0000 0.0000 1
Cu1 0.1290 0.6237 0.6237 1
Cu2 0.6237 0.1290 0.6237 1
Cu3 0.6237 0.6237 0.1290 1
Cu4 0.6237 0.6237 0.6237 1
Ni1 0.2500 0.2500 0.2500 1
```

PaCuNi6 | PBE | optimized geometry

Properties
N(E_F) ... 0.75 states/eV/atom
Crystal system ... cubic
Size of the total moment ... 0.00 μB/f.u.
Energy of formation ... -0.0803 eV/atom
Symmetry ... Pm-3

The structure in CIF format:
```
data_PaCuNi6
_cell_length_a 4.6921
_cell_length_b 4.6921
_cell_length_c 4.6921
_cell_angle_alpha 90.00
_cell_angle_beta 90.00
_cell_angle_gamma 90.00
_space_group_name_H-M_alt 'P 1'
_space_group_IT_number 1
loop_
_space_group_symop_operation_xyz
'x,y,z'
loop_
_atom_site_label
_atom_site_fract_x
_atom_site_fract_y
_atom_site_fract_z
_atom_site_occupancy
Pa1 0.0000 0.0000 0.0000 1
Cu1 0.5000 0.5000 0.5000 1
Ni1 0.0000 0.2570 0.5000 1
Ni2 0.0000 0.7430 0.5000 1
Ni3 0.2570 0.5000 0.0000 1
Ni4 0.5000 0.0000 0.2570 1
Ni5 0.5000 0.0000 0.7430 1
Ni6 0.7430 0.5000 0.0000 1
```

PaCuNi5 | PBE | optimized geometry

Properties
N(E_F) ... 0.54 states/eV/atom
Crystal system ... monoclinic
Size of the total moment ... 0.00 μB/f.u.
Energy of formation ... -0.1642 eV/atom
Symmetry ... C2/c

The structure in CIF format:
```
data_PaCuNi5
_cell_length_a 5.1727
_cell_length_b 5.1727
_cell_length_c 8.1697
_cell_angle_alpha 105.61
_cell_angle_beta 105.61
_cell_angle_gamma 66.38
_space_group_name_H-M_alt 'P 1'
_space_group_IT_number 1
loop_
_space_group_symop_operation_xyz
'x,y,z'
loop_
_atom_site_label
_atom_site_fract_x
_atom_site_fract_y
_atom_site_fract_z
_atom_site_occupancy
Pa1 0.0995 0.9005 0.7500 1
Pa2 0.9005 0.0995 0.2500 1
Cu1 0.0000 0.5000 0.0000 1
Cu2 0.5000 0.0000 0.5000 1
Ni1 0.1696 0.3330 0.7174 1
Ni2 0.2553 0.5207 0.4956 1
Ni3 0.3330 0.1696 0.2174 1
Ni4 0.3499 0.6501 0.2500 1
Ni5 0.4793 0.7447 0.0044 1
Ni6 0.5207 0.2553 0.9956 1
Ni7 0.6501 0.3499 0.7500 1
Ni8 0.6670 0.8304 0.7826 1
Ni9 0.7447 0.4793 0.5044 1
Ni10 0.8304 0.6670 0.2826 1
```

PaCuNi | PBE | optimized geometry

Properties
N(E_F) ... 1.30 states/eV/atom
Crystal system ... hexagonal
Size of the total moment ... 0.00 μB/f.u.
Energy of formation ... -0.2349 eV/atom
Symmetry ... P-62m

The structure in CIF format:
```
data_PaCuNi
_cell_length_a 6.6987
_cell_length_b 6.6987
_cell_length_c 3.8844
_cell_angle_alpha 90.00
_cell_angle_beta 90.00
_cell_angle_gamma 120.00
_space_group_name_H-M_alt 'P 1'
_space_group_IT_number 1
loop_
_space_group_symop_operation_xyz
'x,y,z'
loop_
_atom_site_label
_atom_site_fract_x
_atom_site_fract_y
_atom_site_fract_z
_atom_site_occupancy
Pa1 0.0000 0.5890 0.0000 1
Pa2 0.4110 0.4110 0.0000 1
Pa3 0.5890 0.0000 0.0000 1
Cu1 0.0000 0.2357 0.5000 1
Cu2 0.2357 0.0000 0.5000 1
Cu3 0.7643 0.7643 0.5000 1
Ni1 0.0000 0.0000 0.0000 1
Ni2 0.3333 0.6667 0.5000 1
Ni3 0.6667 0.3333 0.5000 1
```

PaCu2Ni4 | PBE | optimized geometry

Properties
N(E_F) ... 0.62 states/eV/atom
Crystal system ... tetragonal
Size of the total moment ... 0.00 μB/f.u.
Energy of formation ... -0.2586 eV/atom
Symmetry ... I4/mmm

The structure in CIF format:
```
data_PaCu2Ni4
_cell_length_a 4.9956
_cell_length_b 4.9956
_cell_length_c 4.9956
_cell_angle_alpha 103.72
_cell_angle_beta 103.72
_cell_angle_gamma 121.71
_space_group_name_H-M_alt 'P 1'
_space_group_IT_number 1
loop_
_space_group_symop_operation_xyz
'x,y,z'
loop_
_atom_site_label
_atom_site_fract_x
_atom_site_fract_y
_atom_site_fract_z
_atom_site_occupancy
Pa1 0.0000 0.0000 0.0000 1
Cu1 0.2500 0.7500 0.5000 1
Cu2 0.7500 0.2500 0.5000 1
Ni1 0.3030 0.3030 0.6060 1
Ni2 0.3030 0.6970 0.0000 1
Ni3 0.6970 0.3030 0.0000 1
Ni4 0.6970 0.6970 0.3940 1
```

PaCuNi | PBE | optimized geometry

Properties
N(E_F) ... 0.86 states/eV/atom
Crystal system ... orthorhombic
Size of the total moment ... 0.00 μB/f.u.
Energy of formation ... -0.2306 eV/atom
Symmetry ... Cmcm

The structure in CIF format:
```
data_PaCuNi
_cell_length_a 4.2918
_cell_length_b 4.2918
_cell_length_c 6.3100
_cell_angle_alpha 90.00
_cell_angle_beta 90.00
_cell_angle_gamma 120.13
_space_group_name_H-M_alt 'P 1'
_space_group_IT_number 1
loop_
_space_group_symop_operation_xyz
'x,y,z'
loop_
_atom_site_label
_atom_site_fract_x
_atom_site_fract_y
_atom_site_fract_z
_atom_site_occupancy
Pa1 0.0000 0.0000 0.0000 1
Pa2 0.0000 0.0000 0.5000 1
Cu1 0.3328 0.6672 0.7500 1
Cu2 0.6672 0.3328 0.2500 1
Ni1 0.3343 0.6657 0.2500 1
Ni2 0.6657 0.3343 0.7500 1
```

PmPaCuNi | PBE | optimized geometry

Properties
N(E_F) ... 1.27 states/eV/atom
Crystal system ... cubic
Size of the total moment ... 0.00 μB/f.u.
Energy of formation ... -0.0033 eV/atom
Symmetry ... F-43m

The structure in CIF format:
```
data_PmPaCuNi
_cell_length_a 4.8729
_cell_length_b 4.8729
_cell_length_c 4.8729
_cell_angle_alpha 60.00
_cell_angle_beta 60.00
_cell_angle_gamma 60.00
_space_group_name_H-M_alt 'P 1'
_space_group_IT_number 1
loop_
_space_group_symop_operation_xyz
'x,y,z'
loop_
_atom_site_label
_atom_site_fract_x
_atom_site_fract_y
_atom_site_fract_z
_atom_site_occupancy
Pm1 0.0000 0.0000 0.0000 1
Pa1 0.5000 0.5000 0.5000 1
Cu1 0.7500 0.7500 0.7500 1
Ni1 0.2500 0.2500 0.2500 1
```

Pa2Cu3Ni12Pt | PBE | optimized geometry

Properties
N(E_F) ... 0.74 states/eV/atom
Crystal system ... trigonal
Size of the total moment ... 0.00 μB/f.u.
Energy of formation ... 0.1004 eV/atom
Symmetry ... R-3m

The structure in CIF format:
```
data_Pa2Cu3Ni12Pt
_cell_length_a 8.6698
_cell_length_b 8.6698
_cell_length_c 8.6698
_cell_angle_alpha 41.97
_cell_angle_beta 41.97
_cell_angle_gamma 41.97
_space_group_name_H-M_alt 'P 1'
_space_group_IT_number 1
loop_
_space_group_symop_operation_xyz
'x,y,z'
loop_
_atom_site_label
_atom_site_fract_x
_atom_site_fract_y
_atom_site_fract_z
_atom_site_occupancy
Pa1 0.1376 0.1376 0.1376 1
Pa2 0.8624 0.8624 0.8624 1
Cu1 0.0000 0.5000 0.5000 1
Cu2 0.5000 0.0000 0.5000 1
Cu3 0.5000 0.5000 0.0000 1
Ni1 0.0521 0.6361 0.6361 1
Ni2 0.0800 0.0800 0.6992 1
Ni3 0.0800 0.6992 0.0800 1
Ni4 0.3008 0.9200 0.9200 1
Ni5 0.3639 0.3639 0.9479 1
Ni6 0.3639 0.9479 0.3639 1
Ni7 0.6361 0.0521 0.6361 1
Ni8 0.6361 0.6361 0.0521 1
Ni9 0.6992 0.0800 0.0800 1
Ni10 0.9200 0.3008 0.9200 1
Ni11 0.9200 0.9200 0.3008 1
Ni12 0.9479 0.3639 0.3639 1
Pt1 0.5000 0.5000 0.5000 1
```

PuPaCuNi | PBE | optimized geometry

Properties
N(E_F) ... 1.19 states/eV/atom
Crystal system ... cubic
Size of the total moment ... 6.01 μB/f.u.
Energy of formation ... -0.1700 eV/atom
Symmetry ... F-43m

The structure in CIF format:
```
data_PuPaCuNi
_cell_length_a 4.6200
_cell_length_b 4.6200
_cell_length_c 4.6200
_cell_angle_alpha 60.00
_cell_angle_beta 60.00
_cell_angle_gamma 60.00
_space_group_name_H-M_alt 'P 1'
_space_group_IT_number 1
loop_
_space_group_symop_operation_xyz
'x,y,z'
loop_
_atom_site_label
_atom_site_fract_x
_atom_site_fract_y
_atom_site_fract_z
_atom_site_occupancy
Pu1 0.0000 0.0000 0.0000 1
Pa1 0.7500 0.7500 0.7500 1
Cu1 0.2500 0.2500 0.2500 1
Ni1 0.5000 0.5000 0.5000 1
```

PaCuNiRu | PBE | optimized geometry

Properties
N(E_F) ... 0.16 states/eV/atom
Crystal system ... orthorhombic
Size of the total moment ... 0.00 μB/f.u.
Energy of formation ... -0.3978 eV/atom
Symmetry ... Pmmm

The structure in CIF format:
```
data_PaCuNiRu
_cell_length_a 3.7268
_cell_length_b 3.9644
_cell_length_c 4.2336
_cell_angle_alpha 90.00
_cell_angle_beta 90.00
_cell_angle_gamma 90.00
_space_group_name_H-M_alt 'P 1'
_space_group_IT_number 1
loop_
_space_group_symop_operation_xyz
'x,y,z'
loop_
_atom_site_label
_atom_site_fract_x
_atom_site_fract_y
_atom_site_fract_z
_atom_site_occupancy
Pa1 0.0000 0.0000 0.0000 1
Cu1 0.0000 0.5000 0.5000 1
Ni1 0.5000 0.0000 0.5000 1
Ru1 0.5000 0.5000 0.0000 1
```

PaCuNiRu | PBE | optimized geometry

Properties
N(E_F) ... 0.91 states/eV/atom
Crystal system ... cubic
Size of the total moment ... 0.00 μB/f.u.
Energy of formation ... -0.1632 eV/atom
Symmetry ... F-43m

The structure in CIF format:
```
data_PaCuNiRu
_cell_length_a 4.4972
_cell_length_b 4.4972
_cell_length_c 4.4972
_cell_angle_alpha 60.00
_cell_angle_beta 60.00
_cell_angle_gamma 60.00
_space_group_name_H-M_alt 'P 1'
_space_group_IT_number 1
loop_
_space_group_symop_operation_xyz
'x,y,z'
loop_
_atom_site_label
_atom_site_fract_x
_atom_site_fract_y
_atom_site_fract_z
_atom_site_occupancy
Pa1 0.0000 0.0000 0.0000 1
Cu1 0.5000 0.5000 0.5000 1
Ni1 0.7500 0.7500 0.7500 1
Ru1 0.2500 0.2500 0.2500 1
```